# NaMg3Tl3

Crystalline NaMg3Tl3 at its relaxed geometry (PBE, the Alexandria database).

Summary:
Its magnetic moment is 0.0 Bohr magnetons per cell. As for the density of states at the Fermi level: 0.401 states/eV/atom. The raw total energy comes out at -53.1 eV for the cell shown.

a = 10.223 Å, b = 10.909 Å, c = 6.755 Å
α = 90.00°, β = 90.00°, γ = 90.00°
Space group Cmmm (No. 65)
Unique sites:
Na 0.189 0.000 0.000
Mg 0.000 0.163 0.500
Mg 0.000 0.265 0.000
Mg 0.249 0.500 0.500
Tl 0.000 0.500 0.255
Tl 0.250 0.250 0.258


# Na3MgTl2

Crystalline Na3MgTl2 at its relaxed geometry (PBE, the Alexandria database).

Summary:
Its magnetic moment is 0.0 Bohr magnetons per cell. As for the density of states at the Fermi level: 0.441 states/eV/atom. The raw total energy comes out at -42.6 eV for the cell shown.

a = 11.986 Å, b = 5.513 Å, c = 10.769 Å
α = 90.00°, β = 110.21°, γ = 90.00°
Space group C2/m (No. 12)
Unique sites:
Na 0.126 0.000 0.120
Na 0.129 0.500 0.293
Na 0.130 0.500 0.622
Mg 0.126 0.000 0.800
Tl 0.112 0.000 0.450
Tl 0.127 0.500 0.952


# NaMg6Tl6

Crystalline NaMg6Tl6 at its relaxed geometry (PBE, the Alexandria database).

Summary:
Its magnetic moment is 0.0 Bohr magnetons per cell. As for the density of states at the Fermi level: 0.422 states/eV/atom. The raw total energy comes out at -25.6 eV for the cell shown.

a = 6.2383 Å, b = 6.2383 Å, c = 9.9788 Å
α = 90.00°, β = 90.00°, γ = 120.00°
Space group P6/mmm (No. 191)
Unique sites:
Na 0.0000 0.0000 0.0000
Mg 0.0000 0.5000 0.2467
Tl 0.0000 0.0000 0.3376
Tl 0.3333 0.6667 0.0000
Tl 0.3333 0.6667 0.5000


# NaMg2Tl2

Crystalline NaMg2Tl2 at its relaxed geometry (PBE, the Alexandria database).

Summary:
Its magnetic moment is 0.0 Bohr magnetons per cell. As for the density of states at the Fermi level: 0.437 states/eV/atom. The raw total energy comes out at -18.6 eV for the cell shown.

a = 3.429 Å, b = 21.379 Å, c = 3.682 Å
α = 90.00°, β = 90.00°, γ = 90.00°
Space group Cmmm (No. 65)
Unique sites:
Na 0.000 0.000 0.000
Mg 0.000 0.190 0.000
Tl 0.000 0.396 0.500


# Na5MgTl8

Crystalline Na5MgTl8 at its relaxed geometry (PBE, the Alexandria database).

Summary:
Its magnetic moment is 0.0 Bohr magnetons per cell. As for the density of states at the Fermi level: 0.364 states/eV/atom. The raw total energy comes out at -55.8 eV for the cell shown.

a = 9.042 Å, b = 9.042 Å, c = 10.077 Å
α = 90.00°, β = 90.00°, γ = 90.00°
Space group I-4 (No. 82)
Unique sites:
Na 0.000 0.000 0.000
Na 0.128 0.278 0.680
Mg 0.000 0.500 0.250
Tl 0.077 0.180 0.359
Tl 0.085 0.337 0.000


# Na2Mg3Tl8

Crystalline Na2Mg3Tl8 at its relaxed geometry (PBE, the Alexandria database).

Summary:
Its magnetic moment is 0.0 Bohr magnetons per cell. As for the density of states at the Fermi level: 0.469 states/eV/atom. The raw total energy comes out at -52.2 eV for the cell shown.

a = 14.433 Å, b = 8.509 Å, c = 6.191 Å
α = 90.00°, β = 96.67°, γ = 90.00°
Space group C2/m (No. 12)
Unique sites:
Na 0.210 0.000 0.287
Mg 0.000 0.000 0.500
Mg 0.000 0.178 0.000
Tl 0.102 0.500 0.914
Tl 0.114 0.310 0.431
Tl 0.187 0.000 0.794


# Na3Mg3Tl8

Crystalline Na3Mg3Tl8 at its relaxed geometry (PBE, the Alexandria database).

Summary:
Its magnetic moment is 0.0 Bohr magnetons per cell. As for the density of states at the Fermi level: 0.411 states/eV/atom. The raw total energy comes out at -55.9 eV for the cell shown.

a = 5.177 Å, b = 11.229 Å, c = 13.911 Å
α = 90.00°, β = 90.00°, γ = 90.00°
Space group Immm (No. 71)
Unique sites:
Na 0.000 0.000 0.000
Na 0.000 0.000 0.273
Mg 0.000 0.144 0.500
Mg 0.000 0.500 0.000
Tl 0.000 0.299 0.145
Tl 0.000 0.364 0.372


# Na2MgTl4

Crystalline Na2MgTl4 at its relaxed geometry (PBE, the Alexandria database).

Summary:
Its magnetic moment is 0.0 Bohr magnetons per cell. As for the density of states at the Fermi level: 0.379 states/eV/atom. The raw total energy comes out at -27.8 eV for the cell shown.

a = 5.095 Å, b = 5.095 Å, c = 15.622 Å
α = 90.00°, β = 90.00°, γ = 90.00°
Space group I4/mmm (No. 139)
Unique sites:
Na 0.000 0.000 0.247
Mg 0.000 0.000 0.000
Tl 0.000 0.500 0.108


The highest raw total energy belongs to which entry? NaMg2Tl2


Look up the magnetic moment of the first one. 0.0 Bohr magnetons per cell


Among the records above, which one has the highest raw total energy? NaMg2Tl2